The following is a PBEsol calculation of a relaxed structure of NaCd2Pd, from the Alexandria database.

Summary:
energy of formation = -0.195 eV/atom
symmetry = Fm-3m, No. 225
total magnetic moment = 0.000 μB/atom

Lattice parameters (Å, degrees): 4.702 4.702 4.702 60.00 60.00 60.00
Fractional coordinates of all 4 atoms:
Pd1 0.500 0.500 0.500
Na1 0.000 0.000 0.000
Cd1 0.750 0.750 0.750
Cd2 0.250 0.250 0.250